No. 1
VASP calculation (meta-GGA SCAN) on ReHg2TeO at its PBEsol-relaxed geometry.

Cell: 5.470 5.470 3.681 Å, 90.00 90.00 90.00°
Space group P4/mmm (No. 123)
One atom of each set of equivalent atoms:
Re  0.000  0.000  0.000
Hg  0.000  0.500  0.000
Te  0.500  0.500  0.500
O  0.000  0.000  0.500



No. 2
VASP calculation (meta-GGA SCAN) on RuPbN2O at its PBEsol-relaxed geometry.

Cell: 4.202 4.202 4.125 Å, 90.00 90.00 90.00°
Space group P4/mmm (No. 123)
One atom of each set of equivalent atoms:
Ru  0.000  0.000  0.000
Pb  0.500  0.500  0.500
N  0.000  0.500  0.500
O  0.500  0.500  0.000



So what do the calculations give for raw formation energy? Going down the list: 82 1904 meV per atom.